Crystalline Cs2CuNiGe at its relaxed geometry. Source: Alexandria via LeMat-Bulk, functional PBE-GGA.

* calculated total energy: -2.82 eV/atom
* calculated volume: 39.23 A^3/atom
* symmetry: P4/mmm (123)

a b c (Å): 6.613 6.613 4.485
angles (deg): 90.00 90.00 90.00
Fractional positions:
Cs (0.000, 0.500, 0.000)
Cs (0.500, 0.000, 0.000)
Cu (0.000, 0.000, 0.500)
Ni (0.500, 0.500, 0.000)
Ge (0.500, 0.500, 0.500)